No. 1
Entry from Alexandria via LeMat-Bulk: a geometry-optimized Np2NiRu structure (GGA-PBE).

Calculated values
ΔE_f in eV/atom: 0.117

The structure in POSCAR format:
```
Np2NiRu
1.0
-1.474 2.426 2.138
-2.649 0.442 -2.328
-3.024 -4.171 2.649
Ru Np Ni
1 2 1
direct
0.500 0.500 0.500
0.000 0.000 0.236
0.000 0.000 0.764
0.500 0.500 0.000
```

No. 2
Entry from Alexandria via LeMat-Bulk: a geometry-optimized Eu3NiSb structure (GGA-PBE).

Calculated values
Uncorrected formation energy in eV per atom: -0.41

The structure in POSCAR format:
```
Eu3NiSb
1.0
5.382 0.000 0.000
0.000 5.382 0.000
0.000 0.000 5.382
Sb Eu Ni
1 3 1
direct
0.500 0.500 0.500
0.000 0.500 0.000
0.500 0.000 0.000
0.000 0.000 0.500
0.000 0.000 0.000
```

No. 3
Entry from Alexandria via LeMat-Bulk: a geometry-optimized KMg2Rh structure (GGA-PBE).

Calculated values
ΔE_f in eV/atom: 0.369
ΔE to the lowest computed polymorph in eV per formula unit: 1.95

The structure in POSCAR format:
```
KMg2Rh
1.0
5.022 0.000 0.000
2.511 4.349 0.000
2.511 1.450 4.100
Mg Rh K
2 1 1
direct
0.250 0.250 0.250
0.000 0.000 0.000
0.750 0.750 0.750
0.500 0.500 0.500
```

No. 4
Entry from Alexandria via LeMat-Bulk: a geometry-optimized Ho3Zn2Au3 structure (GGA-PBE).

Calculated values
ΔE_f in eV/atom: -0.641

The structure in POSCAR format:
```
Ho3Zn2Au3
1.0
5.607 0.000 0.000
0.000 7.364 -4.251
0.000 0.000 8.503
Au Ho Zn
6 6 4
direct
0.750 0.000 0.614
0.750 0.386 0.386
0.250 0.386 0.000
0.250 0.614 0.614
0.750 0.614 0.000
0.250 0.000 0.386
0.750 0.273 0.000
0.250 0.273 0.273
0.750 0.727 0.727
0.250 0.727 0.000
0.250 0.000 0.727
0.750 0.000 0.273
0.500 0.667 0.333
0.500 0.333 0.667
0.000 0.667 0.333
0.000 0.333 0.667
```